(1)
MgCd2ReO6: optimized geometry, GGA-PBE.

Properties
Total magnetization: 1.0 μB per formula unit

Cell lengths 5.4025, 5.4785, 9.4346 Å; angles 90.00, 124.94, 90.00 degrees
Sites, in units of the cell vectors:
Mg 0.0000 0.0000 0.0000
Mg 0.0000 0.5000 0.5000
Cd 0.2569 0.0422 0.7490
Cd 0.2569 0.4578 0.2490
Cd 0.7431 0.5422 0.7510
Cd 0.7431 0.9578 0.2510
Re 0.5000 0.0000 0.5000
Re 0.5000 0.5000 0.0000
O 0.1626 0.0332 0.2590
O 0.1626 0.4668 0.7590
O 0.2546 0.6923 0.0486
O 0.2546 0.8077 0.5486
O 0.3666 0.2100 0.0524
O 0.3666 0.2900 0.5524
O 0.6334 0.7100 0.4476
O 0.6334 0.7900 0.9476
O 0.7454 0.1923 0.4514
O 0.7454 0.3077 0.9514
O 0.8374 0.5332 0.2410
O 0.8374 0.9668 0.7410



(2)
ZrAgNO: optimized geometry, GGA-PBE.

Properties
Total magnetization: 0.0 μB per formula unit

Cell lengths 4.6881, 4.6881, 4.4818 Å; angles 90.00, 90.00, 90.00 degrees
Sites, in units of the cell vectors:
Zr 0.2500 0.7500 0.0000
Zr 0.7500 0.2500 0.0000
Ag 0.2500 0.2500 0.4664
Ag 0.7500 0.7500 0.5336
N 0.2500 0.2500 0.9735
N 0.7500 0.7500 0.0265
O 0.2500 0.7500 0.5000
O 0.7500 0.2500 0.5000



(3)
K2Pd2Se3: optimized geometry, GGA-PBE.

Cell lengths 6.7698, 6.7698, 6.7698 Å; angles 69.99, 69.99, 69.99 degrees
Sites, in units of the cell vectors:
K 0.0000 0.0000 0.0000
K 0.5000 0.5000 0.5000
Pd 0.2211 0.2211 0.2211
Pd 0.7789 0.7789 0.7789
Se 0.0000 0.0000 0.5000
Se 0.0000 0.5000 0.0000
Se 0.5000 0.0000 0.0000



(4)
ZnGaTe: optimized geometry, GGA-PBE.

Cell lengths 4.8022, 4.8022, 4.8022 Å; angles 60.00, 60.00, 60.00 degrees
Sites, in units of the cell vectors:
Zn 0.0000 0.0000 0.0000
Ga 0.7500 0.7500 0.7500
Te 0.5000 0.5000 0.5000



Number 1: raw total energy -6.102 eV per atom. Number 2: raw total energy -7.173 eV per atom. Number 3: raw total energy -3.632 eV per atom. Number 4: raw total energy -2.330 eV per atom.